No. 1
Ac8Nd6Mg after structural relaxation. Source: Alexandria via LeMat-Bulk, functional PBE.

The structure in POSCAR format:
```
Ac8Nd6Mg
1.0
7.2783 0.0000 0.0000
0.0000 8.6813 -5.0121
0.0000 0.0000 10.0243
Mg Ac Nd
1 8 6
Cartesian
3.6391 0.0000 0.0000
0.8676 2.6653 1.9488
0.8676 5.6609 6.3460
6.4106 8.3262 -1.7295
0.8676 0.3550 6.7416
6.4106 6.0159 3.0633
5.4050 2.8938 5.0121
1.8732 5.7875 0.0000
6.4106 3.0204 -1.3338
2.8971 2.8309 7.9343
2.8971 5.4559 3.6055
4.3812 3.2254 1.4066
4.3812 8.2867 1.5155
2.8971 0.3945 3.4966
4.3812 5.8504 -2.9222
```

## Properties
Formation energy from the elements: 228 meV/atom
DOS at the Fermi energy: 21.1 states/eV per cell
Space-group type: P-3 (147)



No. 2
Ac2NdMg16 after structural relaxation. Source: Alexandria via LeMat-Bulk, functional PBE.

The structure in POSCAR format:
```
Ac2NdMg16
1.0
7.9515 0.0440 0.9455
0.8449 7.9066 0.9455
0.0487 0.0440 8.0073
Mg Nd Ac
16 1 2
Cartesian
3.5044 6.6592 3.9217
3.0060 5.5836 8.9495
6.4172 7.9503 3.9897
3.2456 7.9503 6.8238
0.0451 0.0408 3.9385
5.3117 1.2723 5.9442
8.5564 5.5836 3.9897
0.9980 0.9020 1.1168
8.2369 2.4282 6.8238
6.9784 2.8157 3.9217
5.7050 5.1565 2.4555
5.8580 2.4282 8.9495
3.1152 2.8157 7.3738
0.4343 3.8847 0.4861
1.8009 5.1565 5.9442
3.9087 0.0408 0.4861
8.0145 7.2440 8.9689
5.8710 5.3066 6.5701
3.0203 2.7299 3.3799
```

## Properties
Formation energy from the elements: -62 meV/atom
DOS at the Fermi energy: 11.9 states/eV per cell
Space-group type: R3m (160)



No. 3
Ac4NdMg5 after structural relaxation. Source: Alexandria via LeMat-Bulk, functional PBE.

The structure in POSCAR format:
```
Ac4NdMg5
1.0
-2.1741 2.8293 1.9676
0.5329 -2.0224 3.4969
16.9928 10.5966 3.5389
Ac Nd Mg
4 1 5
Cartesian
13.7162 8.5533 2.8565
10.2366 6.3835 2.1319
3.2766 2.0433 0.6824
6.7562 4.2131 1.4070
0.0000 0.0000 0.0000
0.6741 1.3355 3.0436
4.2024 3.5357 3.7784
7.6758 5.7017 4.5017
14.6775 10.0679 5.9599
11.1492 7.8677 5.2251
```

## Properties
Formation energy from the elements: -84 meV/atom
DOS at the Fermi energy: 11.4 states/eV per cell
Space-group type: P4/mmm (123)



No. 4
Ac2NdMg4 after structural relaxation. Source: Alexandria via LeMat-Bulk, functional PBE.

The structure in POSCAR format:
```
Ac2NdMg4
1.0
-0.3480 3.0218 -4.8268
5.4616 -1.1923 -1.1402
-4.7041 -7.1604 -0.7716
Mg Ac Nd
4 2 1
Cartesian
-0.6344 0.1717 -3.2186
-1.8609 -3.3955 -5.3634
1.0439 -5.5026 -3.5201
2.2704 -1.9353 -1.3753
1.5130 -2.1212 -4.8089
-1.1035 -3.2096 -1.9298
0.0000 0.0000 0.0000
```

## Properties
Formation energy from the elements: 118 meV/atom
DOS at the Fermi energy: 6.4 states/eV per cell
Space-group type: I4/mmm (139)
E above lowest polymorph: 0 meV/atom



No. 5
Ac8Nd2Mg after structural relaxation. Source: Alexandria via LeMat-Bulk, functional PBE.

The structure in POSCAR format:
```
Ac8Nd2Mg
1.0
5.6607 0.0000 -1.7189
-1.2062 8.9301 -3.9722
-0.1233 -1.0999 9.7743
Ac Nd Mg
8 2 1
Cartesian
3.1263 3.6000 0.1153
3.7463 6.8937 2.1571
-0.8210 6.0810 -2.7038
1.2049 4.2302 3.9679
0.5849 0.9364 1.9261
5.1522 1.7491 6.7870
1.7158 0.4396 5.6505
2.6154 7.3905 -1.5673
0.2700 5.8595 0.8893
4.0612 1.9706 3.1939
2.8303 0.0000 -0.8594
```

## Properties
Formation energy from the elements: 118 meV/atom
DOS at the Fermi energy: 15.5 states/eV per cell
Space-group type: Immm (71)



No. 6
AcNdMgOs after structural relaxation. Source: Alexandria via LeMat-Bulk, functional PBE.

The structure in POSCAR format:
```
AcNdMgOs
1.0
-1.7672 4.7477 -1.5663
-2.4387 3.1945 3.4590
2.4076 4.4134 1.6858
Os Ac Nd Mg
1 1 1 1
Cartesian
-0.8991 6.1778 1.7892
-0.4495 3.0889 0.8946
-1.3486 9.2667 2.6839
0.0000 0.0000 0.0000
```

## Properties
Formation energy from the elements: 129 meV/atom
DOS at the Fermi energy: 4.7 states/eV per cell
Space-group type: F-43m (216)



No. 7
AcNdMgPd after structural relaxation. Source: Alexandria via LeMat-Bulk, functional PBE.

The structure in POSCAR format:
```
AcNdMgPd
1.0
5.4533 0.0000 0.0000
2.7267 4.7227 0.0000
2.7267 1.5742 4.4526
Nd Mg Pd Ac
1 1 1 1
Cartesian
8.1800 4.7227 3.3395
5.4533 3.1485 2.2263
0.0000 0.0000 0.0000
2.7267 1.5742 1.1132
```

## Properties
Formation energy from the elements: -290 meV/atom
DOS at the Fermi energy: 3.1 states/eV per cell
Space-group type: F-43m (216)



No. 8
AcPrNdMg after structural relaxation. Source: Alexandria via LeMat-Bulk, functional PBE.

The structure in POSCAR format:
```
AcPrNdMg
1.0
5.8247 0.0000 0.0000
2.9124 5.0443 0.0000
2.9124 1.6814 4.7559
Mg Ac Pr Nd
1 1 1 1
Cartesian
0.0000 0.0000 0.0000
5.8247 3.3629 2.3779
2.9124 1.6814 1.1890
8.7371 5.0443 3.5669
```

## Properties
Formation energy from the elements: 83 meV/atom
DOS at the Fermi energy: 5.9 states/eV per cell
Space-group type: F-43m (216)
E above lowest polymorph: 125 meV/atom